[1]
## LiTa2Al (PBE)

Data for a relaxed LiTa2Al crystal.

```
LiTa2Al
1.0
5.6023 0.0000 0.0000
0.0000 8.2564 0.0000
0.0000 0.0000 2.8442
Li Ta Al
2 4 2
direct
0.0000 0.0000 0.0000 Li
0.5000 0.5000 0.0000 Li
0.2500 0.2500 0.5000 Ta
0.2500 0.7500 0.5000 Ta
0.7500 0.2500 0.5000 Ta
0.7500 0.7500 0.5000 Ta
0.0000 0.5000 0.0000 Al
0.5000 0.0000 0.0000 Al
```

Computed properties:
- E_form: 0.492 eV/f.u.
- DFT total energy: -57.74 eV for the cell shown
- Energy relative to the lowest polymorph listed for this composition: 91 meV/atom


[2]
## Sc2BrCl (PBE)

Data for a relaxed Sc2BrCl crystal.

```
Sc2BrCl
1.0
3.3589 0.0000 0.0000
-1.6794 2.9089 0.0000
0.0000 0.0000 25.6238
Sc Br Cl
6 3 3
direct
0.0000 0.0000 0.2470 Sc
0.0000 0.0000 0.7530 Sc
0.3333 0.6667 0.4197 Sc
0.3333 0.6667 0.9136 Sc
0.6667 0.3333 0.0864 Sc
0.6667 0.3333 0.5803 Sc
0.0000 0.0000 0.0000 Br
0.3333 0.6667 0.6667 Br
0.6667 0.3333 0.3333 Br
0.0000 0.0000 0.5000 Cl
0.3333 0.6667 0.1667 Cl
0.6667 0.3333 0.8333 Cl
```

Computed properties:
- DFT total energy: -59.06 eV for the cell shown
- Energy relative to the lowest polymorph listed for this composition: 395 meV/atom


[3]
## Ac2Zn2NiPd5 (PBE)

Data for a relaxed Ac2Zn2NiPd5 crystal.

```
Ac2Zn2NiPd5
1.0
9.9472 0.0000 0.0000
0.0000 9.9472 0.0000
0.0000 0.0000 3.8978
Ac Zn Ni Pd
4 4 2 10
direct
0.1850 0.3150 0.0000 Ac
0.3150 0.8150 0.0000 Ac
0.6850 0.1850 0.0000 Ac
0.8150 0.6850 0.0000 Ac
0.1130 0.6130 0.0000 Zn
0.3870 0.1130 0.0000 Zn
0.6130 0.8870 0.0000 Zn
0.8870 0.3870 0.0000 Zn
0.0000 0.0000 0.0000 Ni
0.5000 0.5000 0.0000 Ni
0.0000 0.5000 0.5000 Pd
0.0571 0.7977 0.5000 Pd
0.2023 0.0571 0.5000 Pd
0.2977 0.5571 0.5000 Pd
0.4429 0.2977 0.5000 Pd
0.5000 0.0000 0.5000 Pd
0.5571 0.7023 0.5000 Pd
0.7023 0.4429 0.5000 Pd
0.7977 0.9429 0.5000 Pd
0.9429 0.2023 0.5000 Pd
```

Computed properties:
- E_form: -4.640 eV/f.u.
- DFT total energy: -94.30 eV for the cell shown


[4]
## Sn4Te2Se3 (PBE)

Data for a relaxed Sn4Te2Se3 crystal.

```
Sn4Te2Se3
1.0
8.5380 -2.9776 0.0000
8.5380 2.9776 0.0000
-4.4283 0.0000 11.7415
Sn Te Se
8 4 6
direct
0.0239 0.8242 0.5233 Sn
0.1758 0.9761 0.9767 Sn
0.2649 0.3094 0.4305 Sn
0.3094 0.2649 0.9305 Sn
0.6906 0.7351 0.0695 Sn
0.7351 0.6906 0.5695 Sn
0.8242 0.0239 0.0233 Sn
0.9761 0.1758 0.4767 Sn
0.0743 0.6259 0.7976 Te
0.3741 0.9257 0.7024 Te
0.6259 0.0743 0.2976 Te
0.9257 0.3741 0.2024 Te
0.0772 0.6384 0.1170 Se
0.2994 0.7006 0.7500 Se
0.3616 0.9228 0.3830 Se
0.6384 0.0772 0.6170 Se
0.7006 0.2994 0.2500 Se
0.9228 0.3616 0.8830 Se
```

Computed properties:
- DFT total energy: -68.69 eV for the cell shown


[5]
## Li6AgH8 (PBE)

Data for a relaxed Li6AgH8 crystal.

```
Li6AgH8
1.0
0.0000 4.0249 4.0249
4.0249 0.0000 4.0249
4.0249 4.0249 0.0000
Li Ag H
6 1 8
direct
0.0000 0.0000 0.5000 Li
0.0000 0.5000 0.0000 Li
0.0000 0.5000 0.5000 Li
0.5000 0.0000 0.0000 Li
0.5000 0.0000 0.5000 Li
0.5000 0.5000 0.0000 Li
0.0000 0.0000 0.0000 Ag
0.2399 0.2399 0.7601 H
0.2399 0.7601 0.2399 H
0.2399 0.7601 0.7601 H
0.2500 0.2500 0.2500 H
0.7500 0.7500 0.7500 H
0.7601 0.2399 0.2399 H
0.7601 0.2399 0.7601 H
0.7601 0.7601 0.2399 H
```

Computed properties:
- DFT total energy: -44.25 eV for the cell shown


[6]
## In2AgAu9 (PBE)

Data for a relaxed In2AgAu9 crystal.

```
In2AgAu9
1.0
4.2272 0.0000 0.0000
0.0000 4.2272 0.0000
0.0000 0.0000 12.4937
In Ag Au
2 1 9
direct
0.0000 0.0000 0.1708 In
0.0000 0.0000 0.8292 In
0.0000 0.0000 0.5000 Ag
0.0000 0.5000 0.0000 Au
0.0000 0.5000 0.3363 Au
0.0000 0.5000 0.6637 Au
0.5000 0.0000 0.0000 Au
0.5000 0.0000 0.3363 Au
0.5000 0.0000 0.6637 Au
0.5000 0.5000 0.1659 Au
0.5000 0.5000 0.5000 Au
0.5000 0.5000 0.8341 Au
```

Computed properties:
- E_form: -0.856 eV/f.u.
- DFT total energy: -38.68 eV for the cell shown


[7]
## NaNbZn (PBE)

Data for a relaxed NaNbZn crystal.

```
NaNbZn
1.0
5.0575 0.0000 0.0000
-2.5288 4.3799 0.0000
0.0000 0.0000 5.3537
Na Nb Zn
2 2 2
direct
0.0000 0.0000 0.0000 Na
0.0000 0.0000 0.5000 Na
0.3333 0.6667 0.2225 Nb
0.3333 0.6667 0.7775 Nb
0.6667 0.3333 0.2474 Zn
0.6667 0.3333 0.7526 Zn
```

Computed properties:
- E_form: 2.029 eV/f.u.
- DFT total energy: -21.27 eV for the cell shown
- Energy relative to the lowest polymorph listed for this composition: 576 meV/atom


[8]
## ZrScBe2 (PBE)

Data for a relaxed ZrScBe2 crystal.

```
ZrScBe2
1.0
3.8223 0.0000 0.0000
0.0000 3.8223 0.0000
0.0000 0.0000 8.6989
Zr Sc Be
2 2 4
direct
0.0000 0.0000 0.0000 Zr
0.5000 0.5000 0.5000 Zr
0.0000 0.5000 0.2500 Sc
0.5000 0.0000 0.7500 Sc
0.0000 0.0000 0.5000 Be
0.0000 0.5000 0.7500 Be
0.5000 0.0000 0.2500 Be
0.5000 0.5000 0.0000 Be
```

Computed properties:
- E_form: 0.803 eV/f.u.
- DFT total energy: -43.06 eV for the cell shown
- Energy relative to the lowest polymorph listed for this composition: 271 meV/atom


[9]
## K2PtI5 (PBE)

Data for a relaxed K2PtI5 crystal.

```
K2PtI5
1.0
6.2442 -4.7198 0.0000
6.2442 4.7198 0.0000
0.0000 0.0000 11.4214
K Pt I
4 2 10
direct
0.0303 0.5337 0.7500 K
0.4663 0.9697 0.7500 K
0.5337 0.0303 0.2500 K
0.9697 0.4663 0.2500 K
0.5000 0.5000 0.0000 Pt
0.5000 0.5000 0.5000 Pt
0.2168 0.7832 0.5350 I
0.2168 0.7832 0.9650 I
0.2844 0.2844 0.0000 I
0.2844 0.2844 0.5000 I
0.4501 0.5499 0.2500 I
0.5499 0.4501 0.7500 I
0.7156 0.7156 0.0000 I
0.7156 0.7156 0.5000 I
0.7832 0.2168 0.0350 I
0.7832 0.2168 0.4650 I
```

Computed properties:
- DFT total energy: -44.66 eV for the cell shown
- Energy relative to the lowest polymorph listed for this composition: 0 meV/atom


[10]
## NdPaN2 (PBE)

Data for a relaxed NdPaN2 crystal.

```
NdPaN2
1.0
3.5446 0.0000 0.0000
-1.7723 3.0697 0.0000
0.0000 0.0000 18.2156
Nd Pa N
3 3 6
direct
0.0000 0.0000 0.0000 Nd
0.3333 0.6667 0.6667 Nd
0.6667 0.3333 0.3333 Nd
0.0000 0.0000 0.1783 Pa
0.3333 0.6667 0.8450 Pa
0.6667 0.3333 0.5116 Pa
0.0000 0.0000 0.5796 N
0.0000 0.0000 0.7756 N
0.3333 0.6667 0.2462 N
0.3333 0.6667 0.4422 N
0.6667 0.3333 0.1089 N
0.6667 0.3333 0.9129 N
```

Computed properties:
- DFT total energy: -109.25 eV for the cell shown
- Energy relative to the lowest polymorph listed for this composition: 202 meV/atom


[11]
## NdNb2FeN4 (PBE)

Data for a relaxed NdNb2FeN4 crystal.

```
NdNb2FeN4
1.0
1.5743 -5.4750 0.0000
1.5743 5.4750 0.0000
0.0000 0.0000 10.8812
Nd Nb Fe N
2 4 2 8
direct
0.1060 0.8940 0.7500 Nd
0.8940 0.1060 0.2500 Nd
0.3686 0.6314 0.5568 Nb
0.3686 0.6314 0.9432 Nb
0.6314 0.3686 0.0568 Nb
0.6314 0.3686 0.4432 Nb
0.1589 0.8411 0.2500 Fe
0.8411 0.1589 0.7500 Fe
0.0000 0.0000 0.0000 N
0.0000 0.0000 0.5000 N
0.2707 0.7293 0.1129 N
0.2707 0.7293 0.3871 N
0.4404 0.5596 0.7500 N
0.5596 0.4404 0.2500 N
0.7293 0.2707 0.6129 N
0.7293 0.2707 0.8871 N
```

Computed properties:
- DFT total energy: -148.05 eV for the cell shown


[12]
## GaAu2 (PBE)

Data for a relaxed GaAu2 crystal.

```
GaAu2
1.0
5.4611 0.0000 0.0000
0.0000 3.7712 0.0000
-1.5001 0.0000 5.5587
Ga Au
2 4
direct
0.0920 0.2500 0.2661 Ga
0.9080 0.7500 0.7339 Ga
0.3175 0.7500 0.5821 Au
0.3347 0.7500 0.0830 Au
0.6653 0.2500 0.9170 Au
0.6825 0.2500 0.4179 Au
```

Computed properties:
- E_form: -0.456 eV/f.u.
- DFT total energy: -20.08 eV for the cell shown